1.
Density functional theory data (PBE) for a relaxed structure of Li2Sc2Ni2SnGe.

Summary:
- Calculated density: 5.81 g/cm³
- Calculated total energy: -41.1 eV per cell
- Volume: 14.73 Å³ per atom
- Magnetic moment: 0.000 μB/f.u.

Cell: 4.363 4.363 6.189 Å, 90.00 90.00 90.00°
Fractional positions:
1 Ge 0.000 0.000 0.000
2 Li 0.000 0.500 0.235
3 Li 0.500 0.000 0.765
4 Ni 0.500 0.000 0.237
5 Ni 0.000 0.500 0.763
6 Sc 0.500 0.500 0.000
7 Sc 0.000 0.000 0.500
8 Sn 0.500 0.500 0.500

***

2.
Density functional theory data (PBE) for a relaxed structure of Li2Ni2SnGe.

Summary:
- Calculated density: 6.34 g/cm³
- Calculated total energy: -25.5 eV per cell
- Volume: 14.08 Å³ per atom
- Magnetic moment: 0.008 μB/f.u.

Cell: 4.310 4.310 5.249 Å, 90.00 90.00 120.00°
Fractional positions:
1 Ge 0.000 0.000 0.000
2 Li 0.667 0.333 0.240
3 Li 0.667 0.333 0.760
4 Ni 0.333 0.667 0.000
5 Ni 0.000 0.000 0.500
6 Sn 0.333 0.667 0.500

***

3.
Density functional theory data (PBE) for a relaxed structure of Li4Ni2SnGe.

Summary:
- Calculated density: 5.24 g/cm³
- Calculated total energy: -30.2 eV per cell
- Volume: 13.33 Å³ per atom
- Magnetic moment: 0.012 μB/f.u.

Cell: 4.205 4.205 6.030 Å, 90.00 90.00 90.00°
Fractional positions:
1 Ge 0.000 0.000 0.000
2 Li 0.500 0.500 0.000
3 Li 0.500 0.000 0.230
4 Li 0.000 0.000 0.500
5 Li 0.000 0.500 0.770
6 Ni 0.000 0.500 0.229
7 Ni 0.500 0.000 0.771
8 Sn 0.500 0.500 0.500